## BeZnCu4Sn2 (PBE-GGA)

Data for a geometry-optimized BeZnCu4Sn2 structure.

Calculated values
Calculated total energy (eV/atom): -3.279

```
data_BeZnCu4Sn2
_cell_length_a 4.357
_cell_length_b 4.357
_cell_length_c 6.235
_cell_angle_alpha 90.00
_cell_angle_beta 90.00
_cell_angle_gamma 90.00
_space_group_name_H-M_alt 'P 4/m m m'
_space_group_IT_number 123
_space_group_name_Hall '-P 4 2'
loop_
_atom_site_label
_atom_site_type_symbol
_atom_site_fract_x
_atom_site_fract_y
_atom_site_fract_z
_atom_site_occupancy
Be1 Be 0.000 0.000 0.000 1
Zn1 Zn 0.500 0.500 0.500 1
Cu1 Cu 0.000 0.500 0.235 1
Sn1 Sn 0.000 0.000 0.500 1
Sn2 Sn 0.500 0.500 0.000 1
```